Density functional theory data (GGA+U) for a geometry-optimized Cd3CoO4 structure.

For the raw total energy, the calculation gives -4.468 eV/atom. The density of states at the Fermi level comes out at 5.191 states/eV per cell.

The space group is Pmn2_1 (No. 31) and the conventional cell measures 7.1494, 6.1901 and 5.6954 Å, with angles of 90.00, 90.00 and 90.00 degrees. The distinct sites, in fractional coordinates, are Cd at (0.0000, 0.1582, 0.0000), Cd at (0.2480, 0.3311, 0.4981), Co at (0.0000, 0.8298, 0.4973), O at (0.0000, 0.1363, 0.6057), O at (0.0000, 0.8257, 0.1478) and O at (0.2324, 0.6781, 0.6036).